1.
VASP calculation (PBE) on a geometry-optimized RbYNi structure.

```
data_RbYNi
_chemical_formula_sum 'Rb4 Y4 Ni4'
_space_group_name_H-M_alt 'F -4 3 m'
_space_group_IT_number 216
_space_group_name_Hall 'F -4 2 3'
_cell_length_a 7.150
_cell_length_b 7.150
_cell_length_c 7.150
_cell_angle_alpha 90.00
_cell_angle_beta 90.00
_cell_angle_gamma 90.00
loop_
_atom_site_label
_atom_site_type_symbol
_atom_site_fract_x
_atom_site_fract_y
_atom_site_fract_z
_atom_site_occupancy
Rb1 Rb 0.000 0.000 0.000 1
Y1 Y 0.000 0.000 0.500 1
Ni1 Ni 0.250 0.250 0.250 1
```

Properties
Final energy = -44.1 eV per cell
M_tot = 0.0003 μB/atom

=====

2.
VASP calculation (PBE) on a geometry-optimized Li2TcF6 structure.

```
data_Li2TcF6
_chemical_formula_sum 'Li4 Tc2 F12'
_space_group_name_H-M_alt 'P 42/m n m'
_space_group_IT_number 136
_space_group_name_Hall '-P 4n 2n'
_cell_length_a 4.557
_cell_length_b 4.557
_cell_length_c 8.895
_cell_angle_alpha 90.00
_cell_angle_beta 90.00
_cell_angle_gamma 90.00
loop_
_atom_site_label
_atom_site_type_symbol
_atom_site_fract_x
_atom_site_fract_y
_atom_site_fract_z
_atom_site_occupancy
Li1 Li 0.000 0.000 0.164 1
Tc1 Tc 0.000 0.000 0.500 1
F1 F 0.199 0.199 0.000 1
F2 F 0.200 0.200 0.335 1
```

Properties
Final energy = -96.0 eV per cell
M_tot = 0.3334 μB/atom

=====

3.
VASP calculation (PBE) on a geometry-optimized SrTmCuTe2Se structure.

```
data_SrTmCuTe2Se
_chemical_formula_sum 'Sr4 Tm4 Cu4 Te8 Se4'
_space_group_name_H-M_alt 'C m c m'
_space_group_IT_number 63
_space_group_name_Hall '-C 2c 2'
_cell_length_a 4.225
_cell_length_b 14.451
_cell_length_c 10.661
_cell_angle_alpha 90.00
_cell_angle_beta 90.00
_cell_angle_gamma 90.00
loop_
_atom_site_label
_atom_site_type_symbol
_atom_site_fract_x
_atom_site_fract_y
_atom_site_fract_z
_atom_site_occupancy
Sr1 Sr 0.000 0.234 0.250 1
Tm1 Tm 0.000 0.500 0.000 1
Cu1 Cu 0.000 0.025 0.750 1
Te1 Te 0.000 0.144 0.561 1
Se1 Se 0.000 0.430 0.750 1
```

Properties
Final energy = -109.8 eV per cell
M_tot = 0.0003 μB/atom